Entry 1:
# TcSb2AuI

A relaxed TcSb2AuI crystal (PBE, Alexandria via LeMat-Bulk).

Unit cell a=5.401 b=5.401 c=5.546 alpha=90.00 beta=90.00 gamma=90.00
Positions (direct):
I (0.000, 0.000, 0.500)
Sb (0.000, 0.500, 0.000)
Sb (0.500, 0.000, 0.000)
Au (0.000, 0.000, 0.000)
Tc (0.500, 0.500, 0.500)

Results
Calculated total energy ... -3.42 eV/atom
D(E_F) ... 3.4 states/eV/f.u.
Volume ... 32.352 A^3/atom
Energy above the most stable polymorph in this dataset ... 651 meV per atom
Crystal system ... tetragonal

***

Entry 2:
# La2ScCoSb

A relaxed La2ScCoSb crystal (PBE, Alexandria via LeMat-Bulk).

Unit cell a=5.159 b=5.159 c=5.081 alpha=90.00 beta=90.00 gamma=90.00
Positions (direct):
Sc (0.000, 0.000, 0.500)
Sb (0.500, 0.500, 0.500)
Co (0.000, 0.000, 0.000)
La (0.000, 0.500, 0.000)
La (0.500, 0.000, 0.000)

Results
Calculated total energy ... -5.99 eV/atom
D(E_F) ... 3.5 states/eV/f.u.
Volume ... 27.047 A^3/atom
Crystal system ... tetragonal

***

Entry 3:
# TmPaN3

A relaxed TmPaN3 crystal (PBE, Alexandria via LeMat-Bulk).

Unit cell a=4.346 b=5.998 c=6.646 alpha=106.33 beta=109.09 gamma=90.00
Positions (direct):
Tm (0.646, 0.440, 0.293)
Tm (0.354, 0.560, 0.707)
Pa (0.868, 0.099, 0.736)
Pa (0.132, 0.901, 0.264)
N (0.941, 0.793, 0.881)
N (0.059, 0.207, 0.119)
N (0.326, 0.118, 0.652)
N (0.674, 0.882, 0.348)
N (0.181, 0.571, 0.361)
N (0.819, 0.429, 0.639)

Results
Calculated total energy ... -8.97 eV/atom
D(E_F) ... 0.1 states/eV/f.u.
Volume ... 15.631 A^3/atom
Crystal system ... monoclinic

***

Entry 4:
# PmGaAu2O6

A relaxed PmGaAu2O6 crystal (PBE, Alexandria via LeMat-Bulk).

Unit cell a=7.355 b=7.080 c=7.080 alpha=58.18 beta=70.29 gamma=70.29
Positions (direct):
Pm (0.250, 0.677, 0.323)
Pm (0.750, 0.323, 0.677)
Ga (0.250, 0.174, 0.826)
Ga (0.750, 0.826, 0.174)
Au (0.403, 0.763, 0.687)
Au (0.097, 0.313, 0.237)
Au (0.597, 0.237, 0.313)
Au (0.903, 0.687, 0.763)
O (0.254, 0.873, 0.918)
O (0.246, 0.082, 0.127)
O (0.746, 0.127, 0.082)
O (0.754, 0.918, 0.873)
O (0.549, 0.690, 0.417)
O (0.951, 0.583, 0.310)
O (0.451, 0.310, 0.583)
O (0.049, 0.417, 0.690)
O (0.151, 0.825, 0.594)
O (0.349, 0.406, 0.175)
O (0.849, 0.175, 0.406)
O (0.651, 0.594, 0.825)

Results
Calculated total energy ... -5.68 eV/atom
Volume ... 14.450 A^3/atom
Crystal system ... monoclinic

***

Calculated formation energy (no corrections) (eV per atom), listed in the same order as above: 1.2711; -0.5094; -1.1764; -1.2748